# GGA-PBE RbLiRe2P, optimized geometry
data_RbLiRe2P
_symmetry_space_group_name_H-M 'P 4/m m m'
_symmetry_Int_Tables_number 123
_symmetry_space_group_name_Hall '-P 4 2'
_cell_length_a 4.452
_cell_length_b 4.452
_cell_length_c 5.958
_cell_angle_alpha 90.00
_cell_angle_beta 90.00
_cell_angle_gamma 90.00
loop_
_atom_site_label
_atom_site_type_symbol
_atom_site_fract_x
_atom_site_fract_y
_atom_site_fract_z
Rb1 Rb 0.000 0.000 0.000
Li1 Li 0.500 0.500 0.000
Re1 Re 0.000 0.500 0.500
P1 P 0.000 0.000 0.500
# theoretical density = 6.97 g/cm3
# total magnetization = 0.000 μB per atom
# calculated total energy = -5.62 eV per atom

# GGA-PBE FeTeP2, optimized geometry
data_FeTeP2
_symmetry_space_group_name_H-M 'C m m m'
_symmetry_Int_Tables_number 65
_symmetry_space_group_name_Hall '-C 2 2'
_cell_length_a 5.740
_cell_length_b 7.192
_cell_length_c 3.359
_cell_angle_alpha 90.00
_cell_angle_beta 90.00
_cell_angle_gamma 90.00
loop_
_atom_site_label
_atom_site_type_symbol
_atom_site_fract_x
_atom_site_fract_y
_atom_site_fract_z
Fe1 Fe 0.000 0.000 0.000
Te1 Te 0.000 0.500 0.000
P1 P 0.250 0.250 0.500
# theoretical density = 5.88 g/cm3
# total magnetization = 0.716 μB per atom
# calculated total energy = -4.85 eV per atom
# uncorrected formation energy = 290 kJ/mol of formula units

# GGA-PBE LaDyS2, optimized geometry
data_LaDyS2
_symmetry_space_group_name_H-M 'C 1 2/m 1'
_symmetry_Int_Tables_number 12
_symmetry_space_group_name_Hall '-C 2y'
_cell_length_a 6.925
_cell_length_b 4.012
_cell_length_c 7.053
_cell_angle_alpha 90.00
_cell_angle_beta 109.21
_cell_angle_gamma 90.00
loop_
_atom_site_label
_atom_site_type_symbol
_atom_site_fract_x
_atom_site_fract_y
_atom_site_fract_z
La1 La 0.000 0.000 0.000
Dy1 Dy 0.000 0.500 0.500
S1 S 0.243 0.000 0.729
# theoretical density = 6.56 g/cm3
# total magnetization = 0.000 μB per atom
# calculated total energy = -6.53 eV per atom
# uncorrected formation energy = -806 kJ/mol of formula units
# excess energy over the best structure of this formula in the dataset = 0 meV/atom

# GGA-PBE SrSc2TiH, optimized geometry
data_SrSc2TiH
_symmetry_space_group_name_H-M 'P 4/m m m'
_symmetry_Int_Tables_number 123
_symmetry_space_group_name_Hall '-P 4 2'
_cell_length_a 5.470
_cell_length_b 5.470
_cell_length_c 4.792
_cell_angle_alpha 90.00
_cell_angle_beta 90.00
_cell_angle_gamma 90.00
loop_
_atom_site_label
_atom_site_type_symbol
_atom_site_fract_x
_atom_site_fract_y
_atom_site_fract_z
Sr1 Sr 0.000 0.000 0.000
Sc1 Sc 0.000 0.500 0.000
Ti1 Ti 0.000 0.000 0.500
H1 H 0.500 0.500 0.500
# theoretical density = 2.62 g/cm3
# total magnetization = 0.004 μB per atom
# calculated total energy = -3.03 eV per atom

# GGA-PBE CoW2, optimized geometry
data_CoW2
_symmetry_space_group_name_H-M 'I 41/a m d'
_symmetry_Int_Tables_number 141
_cell_length_a 2.698
_cell_length_b 2.698
_cell_length_c 24.230
_cell_angle_alpha 90.00
_cell_angle_beta 90.00
_cell_angle_gamma 90.00
loop_
_symmetry_equiv_pos_as_xyz
'x,y,z'
'-x,-y,-z'
'-y+1/4,x+3/4,z+1/4'
'y+1/4,-x+3/4,-z+1/4'
'-x+1/2,-y,z+1/2'
'x+1/2,y,-z+1/2'
'y+1/4,-x+1/4,z+3/4'
'-y+1/4,x+1/4,-z+3/4'
'x,-y,-z'
'-x,y,z'
'-y+1/4,-x+1/4,-z+3/4'
'y+1/4,x+1/4,z+3/4'
'-x+1/2,y,-z+1/2'
'x+1/2,-y,z+1/2'
'y+1/4,x+3/4,-z+1/4'
'-y+1/4,-x+3/4,z+1/4'
'x+1/2,y+1/2,z+1/2'
'-x+1/2,-y+1/2,-z+1/2'
'-y+3/4,x+1/4,z+3/4'
'y+3/4,-x+1/4,-z+3/4'
'-x,-y+1/2,z'
'x,y+1/2,-z'
'y+3/4,-x+3/4,z+1/4'
'-y+3/4,x+3/4,-z+1/4'
'x+1/2,-y+1/2,-z+1/2'
'-x+1/2,y+1/2,z+1/2'
'-y+3/4,-x+3/4,-z+1/4'
'y+3/4,x+3/4,z+1/4'
'-x,y+1/2,-z'
'x,-y+1/2,z'
'y+3/4,x+1/4,-z+3/4'
'-y+3/4,-x+1/4,z+3/4'
loop_
_atom_site_label
_atom_site_type_symbol
_atom_site_fract_x
_atom_site_fract_y
_atom_site_fract_z
Co1 Co 0.000 0.250 0.375
W1 W 0.000 0.250 0.800
# theoretical density = 16.07 g/cm3
# total magnetization = 0.000 μB per atom
# calculated total energy = -10.64 eV per atom
# excess energy over the best structure of this formula in the dataset = 352 meV/atom

# GGA-PBE InCuP2, optimized geometry
data_InCuP2
_symmetry_space_group_name_H-M 'P 1 m 1'
_symmetry_Int_Tables_number 6
_symmetry_space_group_name_Hall 'P -2y'
_cell_length_a 4.178
_cell_length_b 4.308
_cell_length_c 4.191
_cell_angle_alpha 90.00
_cell_angle_beta 99.17
_cell_angle_gamma 90.00
loop_
_atom_site_label
_atom_site_type_symbol
_atom_site_fract_x
_atom_site_fract_y
_atom_site_fract_z
In1 In 0.000 0.000 0.000
Cu1 Cu 0.782 0.500 0.377
P1 P 0.312 0.500 0.624
P2 P 0.523 0.000 0.467
# theoretical density = 5.36 g/cm3
# total magnetization = 0.000 μB per atom
# calculated total energy = -4.19 eV per atom

> What is the calculated total energy in the fifth record?

-10.64 eV per atom

> total magnetization of number 5 (CoW2)?

0.000 μB per atom